1.
A relaxed structure of LiCoOs. Source: Alexandria via LeMat-Bulk, functional PBE.

Cell: 4.1493 4.1493 4.9710 Å, 90.00 90.00 120.00°
Fractional positions:
Li (0.0000, 0.0000, 0.0000)
Li (0.0000, 0.0000, 0.5000)
Co (0.3333, 0.6667, 0.2500)
Co (0.6667, 0.3333, 0.7500)
Os (0.3333, 0.6667, 0.7500)
Os (0.6667, 0.3333, 0.2500)

Properties
- Mass density: 11475 kg/m³
- ΔE to the lowest computed polymorph: 320 meV/atom
- SG: P6_3/mmc
- Calculated volume: 74 Å³ per cell
- ΔH_f (0 K): 0.427 eV per atom

---

2.
A relaxed structure of LiCo2Os. Source: Alexandria via LeMat-Bulk, functional PBE.

Cell: 4.4660 4.4660 2.5443 Å, 90.00 90.00 107.95°
Fractional positions:
Li (0.0000, 0.0000, 0.0000)
Co (0.0000, 0.5000, 0.5000)
Co (0.5000, 0.0000, 0.5000)
Os (0.5000, 0.5000, 0.0000)

Properties
- Mass density: 10837 kg/m³
- ΔE to the lowest computed polymorph: 27 meV/atom
- SG: Cmmm
- Calculated volume: 48 Å³ per cell
- ΔH_f (0 K): 0.187 eV per atom